# 1
Density functional theory data (PBE) for a relaxed CdBiPt crystal.

abc: 3.8877 3.8877 5.7672
angles: 90.00 90.00 120.00
Sites, in units of the cell vectors:
1 Cd 0.0000 0.0000 0.0000
2 Bi 0.3333 0.6667 0.4337
3 Pt 0.6667 0.3333 0.7114

**Energy**: -3.69 eV per atom
**ΔE_f**: -0.078 eV per atom
**ΔE to the lowest computed polymorph**: 205 meV/atom
**Magnetic moment**: 0.0 μB/cell

# 2
Density functional theory data (PBE) for a relaxed CsTmAg2Cl6 crystal.

abc: 9.5134 9.5134 8.8019
angles: 109.64 109.64 88.60
Sites, in units of the cell vectors:
1 Cs 0.1709 0.8291 0.7500
2 Cs 0.8291 0.1709 0.2500
3 Tm 0.1812 0.8188 0.2500
4 Tm 0.8188 0.1812 0.7500
5 Ag 0.3670 0.4167 0.8376
6 Ag 0.4167 0.3670 0.3376
7 Ag 0.5833 0.6330 0.6624
8 Ag 0.6330 0.5833 0.1624
9 Cl 0.0468 0.1876 0.6775
10 Cl 0.1671 0.6029 0.9907
11 Cl 0.1876 0.0468 0.1775
12 Cl 0.2829 0.4488 0.5485
13 Cl 0.3971 0.8329 0.5093
14 Cl 0.4488 0.2829 0.0485
15 Cl 0.5512 0.7171 0.9515
16 Cl 0.6029 0.1671 0.4907
17 Cl 0.7171 0.5512 0.4515
18 Cl 0.8124 0.9532 0.8225
19 Cl 0.8329 0.3971 0.0093
20 Cl 0.9532 0.8124 0.3225

**Energy**: -3.63 eV per atom
**Magnetic moment**: 0.0 μB/cell

# 3
Density functional theory data (PBE) for a relaxed Be2Cu3Pd3 crystal.

abc: 6.3903 6.3903 2.8007
angles: 90.00 90.00 120.00
Sites, in units of the cell vectors:
1 Be 0.3333 0.6667 0.0000
2 Be 0.6667 0.3333 0.0000
3 Cu 0.0000 0.7692 0.0000
4 Cu 0.2308 0.2308 0.0000
5 Cu 0.7692 0.0000 0.0000
6 Pd 0.0000 0.4106 0.5000
7 Pd 0.4106 0.0000 0.5000
8 Pd 0.5894 0.5894 0.5000

**Energy**: -4.70 eV per atom
**ΔE_f**: -0.290 eV per atom
**Magnetic moment**: 0.0 μB/cell

# 4
Density functional theory data (PBE) for a relaxed LaNi2Au2 crystal.

abc: 7.6048 7.6048 3.1248
angles: 90.00 90.00 90.00
Sites, in units of the cell vectors:
1 La 0.0000 0.0000 0.0000
2 La 0.5000 0.5000 0.0000
3 Ni 0.1639 0.3361 0.5000
4 Ni 0.3361 0.8361 0.5000
5 Ni 0.6639 0.1639 0.5000
6 Ni 0.8361 0.6639 0.5000
7 Au 0.1311 0.6311 0.0000
8 Au 0.3689 0.1311 0.0000
9 Au 0.6311 0.8689 0.0000
10 Au 0.8689 0.3689 0.0000

**Energy**: -4.75 eV per atom
**ΔE_f**: -0.136 eV per atom
**ΔE to the lowest computed polymorph**: 225 meV/atom
**Magnetic moment**: 0.0 μB/cell

# 5
Density functional theory data (PBE) for a relaxed SmHgI3 crystal.

abc: 11.4808 11.4808 11.4808
angles: 39.94 39.94 39.94
Sites, in units of the cell vectors:
1 Sm 0.1668 0.1668 0.1668
2 Sm 0.8332 0.8332 0.8332
3 Hg 0.3378 0.3378 0.3378
4 Hg 0.6622 0.6622 0.6622
5 I 0.0845 0.4425 0.8016
6 I 0.1984 0.9155 0.5575
7 I 0.4425 0.8016 0.0845
8 I 0.5575 0.1984 0.9155
9 I 0.8016 0.0845 0.4425
10 I 0.9155 0.5575 0.1984

**Energy**: -3.04 eV per atom
**ΔE to the lowest computed polymorph**: 0 meV/atom
**Magnetic moment**: 0.0 μB/cell

# 6
Density functional theory data (PBE) for a relaxed Al2BiPdN crystal.

abc: 4.0870 4.0870 4.8980
angles: 90.00 90.00 90.00
Sites, in units of the cell vectors:
1 Al 0.0000 0.5000 0.0000
2 Al 0.5000 0.0000 0.0000
3 Bi 0.0000 0.0000 0.5000
4 Pd 0.5000 0.5000 0.5000
5 N 0.5000 0.5000 0.0000

**Energy**: -4.91 eV per atom
**Magnetic moment**: 0.0 μB/cell

# 7
Density functional theory data (PBE) for a relaxed SiPt3Se crystal.

abc: 4.7092 4.7092 4.7092
angles: 90.00 90.00 90.00
Sites, in units of the cell vectors:
1 Si 0.0000 0.0000 0.0000
2 Pt 0.0000 0.5000 0.5000
3 Pt 0.5000 0.0000 0.5000
4 Pt 0.5000 0.5000 0.0000
5 Se 0.5000 0.5000 0.5000

**Energy**: -4.65 eV per atom
**ΔE to the lowest computed polymorph**: 413 meV/atom
**Magnetic moment**: 0.0 μB/cell